Record 1
TeAsRh2 | GGA-PBEsol | optimized geometry

Summary:
Space-group type ... R3m, No. 160
Raw total energy ... -6.266 eV/atom
E_form (uncorrected) ... -0.039 eV/atom
Crystal system ... trigonal

Geometry as POSCAR:
```
TeAsRh2
1.0
3.505 0.000 0.000
-1.753 3.036 0.000
0.000 0.000 21.820
Te As Rh
3 3 6
Direct
0.000 0.000 0.000
0.333 0.667 0.667
0.667 0.333 0.333
0.000 0.000 0.786
0.333 0.667 0.452
0.667 0.333 0.119
0.000 0.000 0.266
0.000 0.000 0.506
0.333 0.667 0.172
0.333 0.667 0.933
0.667 0.333 0.600
0.667 0.333 0.839
```

Record 2
TeAsRh | GGA-PBEsol | optimized geometry

Summary:
Space-group type ... P2_13, No. 198
Raw total energy ... -6.121 eV/atom
E_form (uncorrected) ... -0.531 eV/atom
Crystal system ... cubic

Geometry as POSCAR:
```
TeAsRh
1.0
6.149 0.000 0.000
0.000 6.149 0.000
0.000 0.000 6.149
Te As Rh
4 4 4
Direct
0.124 0.124 0.124
0.376 0.876 0.624
0.624 0.376 0.876
0.876 0.624 0.376
0.123 0.377 0.623
0.377 0.623 0.123
0.623 0.123 0.377
0.877 0.877 0.877
0.011 0.511 0.989
0.489 0.489 0.489
0.511 0.989 0.011
0.989 0.011 0.511
```

Record 3
TeAsRh2 | GGA-PBEsol | optimized geometry

Summary:
Space-group type ... Cm, No. 8
Raw total energy ... -6.452 eV/atom
E_form (uncorrected) ... -0.224 eV/atom
Crystal system ... monoclinic

Geometry as POSCAR:
```
TeAsRh2
1.0
8.062 0.000 0.000
0.000 3.420 0.000
-0.847 0.000 5.298
Te As Rh
2 2 4
Direct
0.000 0.000 0.000
0.500 0.500 0.000
0.209 0.000 0.551
0.709 0.500 0.551
0.003 0.500 0.594
0.232 0.500 0.239
0.503 0.000 0.594
0.732 0.000 0.239
```

> Which of these has the lowest E_form (uncorrected)?

TeAsRh